No. 1
LiTbPrEu | GGA-PBE | relaxed

abc: 8.0091 8.0091 8.0091
angles: 90.00 90.00 90.00
Last column: nearest neighbours and their distance in Å.
Atoms (fractional coordinates):
Li (0.0000, 0.0000, 0.0000)  4 Pr 3.47, 4 Tb 3.47
Li (0.0000, 0.5000, 0.5000)  4 Pr 3.47, 4 Tb 3.47
Li (0.5000, 0.0000, 0.5000)  4 Pr 3.47, 4 Tb 3.47
Li (0.5000, 0.5000, 0.0000)  4 Pr 3.47, 4 Tb 3.47
Tb (0.2500, 0.2500, 0.2500)  4 Li 3.47, 4 Eu 3.47
Tb (0.2500, 0.7500, 0.7500)  4 Li 3.47, 4 Eu 3.47
Tb (0.7500, 0.2500, 0.7500)  4 Li 3.47, 4 Eu 3.47
Tb (0.7500, 0.7500, 0.2500)  4 Li 3.47, 4 Eu 3.47
Pr (0.2500, 0.2500, 0.7500)  4 Li 3.47, 4 Eu 3.47
Pr (0.2500, 0.7500, 0.2500)  4 Li 3.47, 4 Eu 3.47
Pr (0.7500, 0.2500, 0.2500)  4 Li 3.47, 4 Eu 3.47
Pr (0.7500, 0.7500, 0.7500)  4 Li 3.47, 4 Eu 3.47
Eu (0.0000, 0.0000, 0.5000)  4 Tb 3.47, 4 Pr 3.47
Eu (0.0000, 0.5000, 0.0000)  4 Tb 3.47, 4 Pr 3.47
Eu (0.5000, 0.0000, 0.0000)  4 Tb 3.47, 4 Pr 3.47
Eu (0.5000, 0.5000, 0.5000)  4 Tb 3.47, 4 Pr 3.47

Summary:
The density of states at the Fermi level is 1.169 states/eV/atom. The energy relative to the elements comes out at 211 meV per atom.

***

No. 2
La2ErBi | GGA-PBE | relaxed

abc: 4.3558 4.3558 7.0441
angles: 90.00 90.00 90.00
Last column: nearest neighbours and their distance in Å.
Atoms (fractional coordinates):
La (0.0000, 0.0000, 0.2329)  1 La 3.28, 4 Bi 3.49, 4 Er 3.61
La (0.0000, 0.0000, 0.7671)  1 La 3.28, 4 Bi 3.49, 4 Er 3.61
Er (0.5000, 0.5000, 0.5000)  2 Bi 3.52, 8 La 3.61
Bi (0.5000, 0.5000, 0.0000)  8 La 3.49, 2 Er 3.52

Summary:
The density of states at the Fermi level is 1.311 states/eV/atom. The energy relative to the elements comes out at -416 meV per atom.